Entry 1:
Below is a relaxed structure of BeCdSb2, with properties calculated at the PBE level.

```
data_BeCdSb2
_chemical_formula_sum 'Be2 Cd2 Sb4'
_cell_length_a 4.747
_cell_length_b 4.747
_cell_length_c 8.009
_cell_angle_alpha 90.00
_cell_angle_beta 90.00
_cell_angle_gamma 90.00
_space_group_name_H-M_alt 'I 4/m m m'
_space_group_IT_number 139
_space_group_name_Hall '-I 4 2'
loop_
_atom_site_label
_atom_site_type_symbol
_atom_site_fract_x
_atom_site_fract_y
_atom_site_fract_z
Be1 Be 0.000 0.000 0.000
Cd1 Cd 0.000 0.000 0.500
Sb1 Sb 0.000 0.500 0.250
```

Summary:
Energy above the most stable polymorph in this dataset   1.32 eV/f.u.
Calculated density   6.715 g cm⁻³
Formation energy without anion corrections   0.5392 eV/atom
VASP energy   -2.682 eV/atom
Spin magnetization   0.000 μB per atom

Entry 2:
Below is a relaxed structure of BeCd2Sb, with properties calculated at the PBE level.

```
data_BeCd2Sb
_chemical_formula_sum 'Be2 Cd4 Sb2'
_cell_length_a 7.096
_cell_length_b 4.028
_cell_length_c 6.776
_cell_angle_alpha 90.00
_cell_angle_beta 107.25
_cell_angle_gamma 90.00
_space_group_name_H-M_alt 'C 1 m 1'
_space_group_IT_number 8
loop_
_space_group_symop_operation_xyz
'x,y,z'
'x,-y,z'
'x+1/2,y+1/2,z'
'x+1/2,-y+1/2,z'
loop_
_atom_site_label
_atom_site_type_symbol
_atom_site_fract_x
_atom_site_fract_y
_atom_site_fract_z
Be1 Be 0.000 0.000 0.000
Cd1 Cd 0.231 0.000 0.726
Cd2 Cd 0.467 0.000 0.434
Sb1 Sb 0.195 0.500 0.090
```

Summary:
Energy above the most stable polymorph in this dataset   0.00 eV/f.u.
Calculated density   6.384 g cm⁻³
Formation energy without anion corrections   0.2068 eV/atom
VASP energy   -2.213 eV/atom
Spin magnetization   0.000 μB per atom

Entry 3:
Below is a relaxed structure of BeCdSb2, with properties calculated at the PBE level.

```
data_BeCdSb2
_chemical_formula_sum 'Be2 Cd2 Sb4'
_cell_length_a 6.086
_cell_length_b 7.851
_cell_length_c 4.475
_cell_angle_alpha 90.00
_cell_angle_beta 116.34
_cell_angle_gamma 90.00
_space_group_name_H-M_alt 'C 1 2/m 1'
_space_group_IT_number 12
loop_
_space_group_symop_operation_xyz
'x,y,z'
'-x,-y,-z'
'-x,y,-z'
'x,-y,z'
'x+1/2,y+1/2,z'
'-x+1/2,-y+1/2,-z'
'-x+1/2,y+1/2,-z'
'x+1/2,-y+1/2,z'
loop_
_atom_site_label
_atom_site_type_symbol
_atom_site_fract_x
_atom_site_fract_y
_atom_site_fract_z
Be1 Be 0.000 0.000 0.000
Cd1 Cd 0.000 0.500 0.000
Sb1 Sb 0.250 0.250 0.500
```

Summary:
Energy above the most stable polymorph in this dataset   0.96 eV/f.u.
Calculated density   6.325 g cm⁻³
Formation energy without anion corrections   0.4488 eV/atom
VASP energy   -2.773 eV/atom
Spin magnetization   0.000 μB per atom

Entry 4:
Below is a relaxed structure of Be4CdSb, with properties calculated at the PBE level.

```
data_Be4CdSb
_chemical_formula_sum 'Be16 Cd4 Sb4'
_cell_length_a 6.913
_cell_length_b 6.913
_cell_length_c 6.913
_cell_angle_alpha 90.00
_cell_angle_beta 90.00
_cell_angle_gamma 90.00
_space_group_name_H-M_alt 'F -4 3 m'
_space_group_IT_number 216
_space_group_name_Hall 'F -4 2 3'
loop_
_atom_site_label
_atom_site_type_symbol
_atom_site_fract_x
_atom_site_fract_y
_atom_site_fract_z
Be1 Be 0.123 0.123 0.123
Cd1 Cd 0.250 0.250 0.750
Sb1 Sb 0.000 0.000 0.500
```

Summary:
Calculated density   5.432 g cm⁻³
Formation energy without anion corrections   0.5164 eV/atom
VASP energy   -2.807 eV/atom
Spin magnetization   0.000 μB per atom

Entry 5:
Below is a relaxed structure of BeCdSb2, with properties calculated at the PBE level.

```
data_BeCdSb2
_chemical_formula_sum 'Be2 Cd2 Sb4'
_cell_length_a 3.826
_cell_length_b 5.457
_cell_length_c 9.020
_cell_angle_alpha 90.00
_cell_angle_beta 90.00
_cell_angle_gamma 90.00
_space_group_name_H-M_alt 'I m m m'
_space_group_IT_number 71
_space_group_name_Hall '-I 2 2'
loop_
_atom_site_label
_atom_site_type_symbol
_atom_site_fract_x
_atom_site_fract_y
_atom_site_fract_z
Be1 Be 0.000 0.000 0.000
Cd1 Cd 0.000 0.000 0.500
Sb1 Sb 0.000 0.500 0.317
```

Summary:
Energy above the most stable polymorph in this dataset   0.55 eV/f.u.
Calculated density   6.437 g cm⁻³
Formation energy without anion corrections   0.3475 eV/atom
VASP energy   -2.874 eV/atom
Spin magnetization   0.000 μB per atom

Entry 6:
Below is a relaxed structure of Be2CdSb, with properties calculated at the PBE level.

```
data_Be2CdSb
_chemical_formula_sum 'Be2 Cd1 Sb1'
_cell_length_a 3.872
_cell_length_b 3.606
_cell_length_c 5.241
_cell_angle_alpha 90.00
_cell_angle_beta 106.29
_cell_angle_gamma 90.00
_space_group_name_H-M_alt 'P 1 2/m 1'
_space_group_IT_number 10
loop_
_space_group_symop_operation_xyz
'x,y,z'
'-x,-y,-z'
'-x,y,-z'
'x,-y,z'
loop_
_atom_site_label
_atom_site_type_symbol
_atom_site_fract_x
_atom_site_fract_y
_atom_site_fract_z
Be1 Be 0.000 0.000 0.000
Be2 Be 0.500 0.500 0.500
Cd1 Cd 0.000 0.000 0.500
Sb1 Sb 0.500 0.500 0.000
```

Summary:
Energy above the most stable polymorph in this dataset   0.99 eV/f.u.
Calculated density   5.962 g cm⁻³
Formation energy without anion corrections   0.5555 eV/atom
VASP energy   -2.567 eV/atom
Spin magnetization   0.000 μB per atom

Entry 7:
Below is a relaxed structure of BeCdSb2, with properties calculated at the PBE level.

```
data_BeCdSb2
_chemical_formula_sum 'Be1 Cd1 Sb2'
_cell_length_a 3.313
_cell_length_b 3.935
_cell_length_c 7.495
_cell_angle_alpha 90.00
_cell_angle_beta 90.00
_cell_angle_gamma 90.00
_space_group_name_H-M_alt 'P m m 2'
_space_group_IT_number 25
loop_
_space_group_symop_operation_xyz
'x,y,z'
'-x,-y,z'
'-x,y,z'
'x,-y,z'
loop_
_atom_site_label
_atom_site_type_symbol
_atom_site_fract_x
_atom_site_fract_y
_atom_site_fract_z
Be1 Be 0.000 0.000 0.000
Cd1 Cd 0.500 0.500 0.195
Sb1 Sb 0.000 0.000 0.392
Sb2 Sb 0.500 0.500 0.823
```

Summary:
Energy above the most stable polymorph in this dataset   0.64 eV/f.u.
Calculated density   6.202 g cm⁻³
Formation energy without anion corrections   0.3693 eV/atom
VASP energy   -2.852 eV/atom
Spin magnetization   0.000 μB per atom

Entry 8:
Below is a relaxed structure of BeCdSb2, with properties calculated at the PBE level.

```
data_BeCdSb2
_chemical_formula_sum 'Be2 Cd2 Sb4'
_cell_length_a 6.189
_cell_length_b 7.687
_cell_length_c 3.799
_cell_angle_alpha 90.00
_cell_angle_beta 90.00
_cell_angle_gamma 90.00
_space_group_name_H-M_alt 'C m m m'
_space_group_IT_number 65
_space_group_name_Hall '-C 2 2'
loop_
_atom_site_label
_atom_site_type_symbol
_atom_site_fract_x
_atom_site_fract_y
_atom_site_fract_z
Be1 Be 0.000 0.000 0.000
Cd1 Cd 0.000 0.500 0.000
Sb1 Sb 0.250 0.250 0.500
```

Summary:
Energy above the most stable polymorph in this dataset   1.29 eV/f.u.
Calculated density   6.706 g cm⁻³
Formation energy without anion corrections   0.5331 eV/atom
VASP energy   -2.688 eV/atom
Spin magnetization   0.000 μB per atom

Entry 9:
Below is a relaxed structure of BeCd2Sb, with properties calculated at the PBE level.

```
data_BeCd2Sb
_chemical_formula_sum 'Be1 Cd2 Sb1'
_cell_length_a 4.315
_cell_length_b 4.007
_cell_length_c 5.493
_cell_angle_alpha 90.00
_cell_angle_beta 108.58
_cell_angle_gamma 90.00
_space_group_name_H-M_alt 'P 1 m 1'
_space_group_IT_number 6
loop_
_space_group_symop_operation_xyz
'x,y,z'
'x,-y,z'
loop_
_atom_site_label
_atom_site_type_symbol
_atom_site_fract_x
_atom_site_fract_y
_atom_site_fract_z
Be1 Be 0.000 0.000 0.000
Cd1 Cd 0.509 0.500 0.837
Cd2 Cd 0.845 0.000 0.524
Sb1 Sb 0.198 0.500 0.256
```

Summary:
Energy above the most stable polymorph in this dataset   0.24 eV/f.u.
Calculated density   6.560 g cm⁻³
Formation energy without anion corrections   0.2663 eV/atom
VASP energy   -2.153 eV/atom
Spin magnetization   0.000 μB per atom

Entry 10:
Below is a relaxed structure of BeCdSb2, with properties calculated at the PBE level.

```
data_BeCdSb2
_chemical_formula_sum 'Be4 Cd4 Sb8'
_cell_length_a 7.107
_cell_length_b 7.107
_cell_length_c 7.107
_cell_angle_alpha 90.00
_cell_angle_beta 90.00
_cell_angle_gamma 90.00
_space_group_name_H-M_alt 'F m -3 m'
_space_group_IT_number 225
_space_group_name_Hall '-F 4 2 3'
loop_
_atom_site_label
_atom_site_type_symbol
_atom_site_fract_x
_atom_site_fract_y
_atom_site_fract_z
Be1 Be 0.000 0.000 0.000
Cd1 Cd 0.000 0.000 0.500
Sb1 Sb 0.250 0.250 0.250
```

Summary:
Energy above the most stable polymorph in this dataset   1.38 eV/f.u.
Calculated density   6.754 g cm⁻³
Formation energy without anion corrections   0.5546 eV/atom
VASP energy   -2.667 eV/atom
Spin magnetization   0.000 μB per atom